[1]
# CaCr2Au (GGA-PBEsol, optimized geometry)
data_CaCr2Au
_chemical_formula_sum 'Ca1 Cr2 Au1'
_symmetry_space_group_name_H-M 'P m m m'
_symmetry_Int_Tables_number 47
_cell_length_a 3.6525
_cell_length_b 4.4242
_cell_length_c 4.8270
_cell_angle_alpha 90.00
_cell_angle_beta 90.00
_cell_angle_gamma 90.00
loop_
_symmetry_equiv_pos_as_xyz
'x,y,z'
'-x,-y,-z'
'-x,-y,z'
'x,y,-z'
'x,-y,-z'
'-x,y,z'
'-x,y,-z'
'x,-y,z'
loop_
_atom_site_label
_atom_site_type_symbol
_atom_site_fract_x
_atom_site_fract_y
_atom_site_fract_z
_atom_site_occupancy
Ca1 Ca 0.0000 0.0000 0.0000 1
Cr1 Cr 0.5000 0.2033 0.5000 1
Au1 Au 0.5000 0.5000 0.0000 1
# Density of states at the Fermi level in states/eV per cell: 3.22
# Energy above the most stable polymorph in this dataset in kJ per mole of atoms: 0.0
# DFT formation energy in meV/atom: 606
# Magnetic moment in Bohr magnetons per cell: 0.001
# ρ in kg/m³: 7260

[2]
# CaCu2Te (GGA-PBEsol, optimized geometry)
data_CaCu2Te
_chemical_formula_sum 'Ca1 Cu2 Te1'
_symmetry_space_group_name_H-M 'P 4/m m m'
_symmetry_Int_Tables_number 123
_symmetry_space_group_name_Hall '-P 4 2'
_cell_length_a 3.7014
_cell_length_b 3.7014
_cell_length_c 5.8015
_cell_angle_alpha 90.00
_cell_angle_beta 90.00
_cell_angle_gamma 90.00
loop_
_atom_site_label
_atom_site_type_symbol
_atom_site_fract_x
_atom_site_fract_y
_atom_site_fract_z
_atom_site_occupancy
Ca1 Ca 0.0000 0.0000 0.0000 1
Cu1 Cu 0.5000 0.5000 0.2747 1
Te1 Te 0.0000 0.0000 0.5000 1
# Energy relative to the elements, uncorrected in eV per atom: -0.10
# Density of states at the Fermi level in states/eV per cell: 0.96
# Magnetic moment in Bohr magnetons per cell: 0.000
# ρ in kg/m³: 6158

[3]
# Ce2InGe2 (GGA-PBEsol, optimized geometry)
data_Ce2InGe2
_chemical_formula_sum 'Ce4 In2 Ge4'
_symmetry_space_group_name_H-M 'P 4/m b m'
_symmetry_Int_Tables_number 127
_symmetry_space_group_name_Hall '-P 4 2ab'
_cell_length_a 7.3030
_cell_length_b 7.3030
_cell_length_c 4.3278
_cell_angle_alpha 90.00
_cell_angle_beta 90.00
_cell_angle_gamma 90.00
loop_
_atom_site_label
_atom_site_type_symbol
_atom_site_fract_x
_atom_site_fract_y
_atom_site_fract_z
_atom_site_occupancy
Ce1 Ce 0.1784 0.3216 0.0000 1
In1 In 0.0000 0.0000 0.5000 1
Ge1 Ge 0.1217 0.6217 0.5000 1
# Density of states at the Fermi level in states/eV per cell: 19.33
# DFT formation energy in meV/atom: -641
# Magnetic moment in Bohr magnetons per cell: 2.582
# ρ in kg/m³: 7774

[4]
# TlGa2Pt (GGA-PBEsol, optimized geometry)
data_TlGa2Pt
_chemical_formula_sum 'Tl4 Ga8 Pt4'
_symmetry_space_group_name_H-M 'F m -3 m'
_symmetry_Int_Tables_number 225
_symmetry_space_group_name_Hall '-F 4 2 3'
_cell_length_a 6.6308
_cell_length_b 6.6308
_cell_length_c 6.6308
_cell_angle_alpha 90.00
_cell_angle_beta 90.00
_cell_angle_gamma 90.00
loop_
_atom_site_label
_atom_site_type_symbol
_atom_site_fract_x
_atom_site_fract_y
_atom_site_fract_z
_atom_site_occupancy
Tl1 Tl 0.0000 0.0000 0.0000 1
Ga1 Ga 0.2500 0.2500 0.2500 1
Pt1 Pt 0.0000 0.0000 0.5000 1
# Density of states at the Fermi level in states/eV per cell: 8.26
# DFT formation energy in meV/atom: 39
# Magnetic moment in Bohr magnetons per cell: 0.001
# ρ in kg/m³: 12278

[5]
# ZnCoIr2 (GGA-PBEsol, optimized geometry)
data_ZnCoIr2
_chemical_formula_sum 'Zn2 Co2 Ir4'
_symmetry_space_group_name_H-M 'C 1 2/m 1'
_symmetry_Int_Tables_number 12
_cell_length_a 5.2969
_cell_length_b 8.5761
_cell_length_c 2.6602
_cell_angle_alpha 90.00
_cell_angle_beta 117.84
_cell_angle_gamma 90.00
loop_
_symmetry_equiv_pos_as_xyz
'x,y,z'
'-x,-y,-z'
'-x,y,-z'
'x,-y,z'
'x+1/2,y+1/2,z'
'-x+1/2,-y+1/2,-z'
'-x+1/2,y+1/2,-z'
'x+1/2,-y+1/2,z'
loop_
_atom_site_label
_atom_site_type_symbol
_atom_site_fract_x
_atom_site_fract_y
_atom_site_fract_z
_atom_site_occupancy
Zn1 Zn 0.0000 0.0000 0.0000 1
Co1 Co 0.0000 0.5000 0.0000 1
Ir1 Ir 0.2500 0.2500 0.5000 1
# Density of states at the Fermi level in states/eV per cell: 10.41
# DFT formation energy in meV/atom: 143
# Magnetic moment in Bohr magnetons per cell: 4.533
# ρ in kg/m³: 15812

[6]
# Ca2TlSb (GGA-PBEsol, optimized geometry)
data_Ca2TlSb
_chemical_formula_sum 'Ca2 Tl1 Sb1'
_symmetry_space_group_name_H-M 'P m m m'
_symmetry_Int_Tables_number 47
_cell_length_a 3.7201
_cell_length_b 4.1616
_cell_length_c 7.2011
_cell_angle_alpha 90.00
_cell_angle_beta 90.00
_cell_angle_gamma 90.00
loop_
_symmetry_equiv_pos_as_xyz
'x,y,z'
'-x,-y,-z'
'-x,-y,z'
'x,y,-z'
'x,-y,-z'
'-x,y,z'
'-x,y,-z'
'x,-y,z'
loop_
_atom_site_label
_atom_site_type_symbol
_atom_site_fract_x
_atom_site_fract_y
_atom_site_fract_z
_atom_site_occupancy
Ca1 Ca 0.0000 0.0000 0.2405 1
Tl1 Tl 0.5000 0.5000 0.5000 1
Sb1 Sb 0.5000 0.5000 0.0000 1
# Energy relative to the elements, uncorrected in eV per atom: -0.70
# Density of states at the Fermi level in states/eV per cell: 1.48
# Energy above the most stable polymorph in this dataset in kJ per mole of atoms: 0.8
# Magnetic moment in Bohr magnetons per cell: 0.000
# ρ in kg/m³: 6052